First-principles (PBE) data for a relaxed structure of La2CdCoAg, as listed in the Alexandria database.

Lattice parameters (Å, degrees): 5.1432 5.1432 5.1015 90.00 90.00 90.00
Atoms (fractional coordinates):
La1 0.0000 0.5000 0.0000
La2 0.5000 0.0000 0.0000
Cd1 0.0000 0.0000 0.5000
Co1 0.5000 0.5000 0.0000
Ag1 0.5000 0.5000 0.5000

Calculated values
For the energy above the most stable polymorph in this dataset, the calculation gives 0.045 eV per atom. Its space-group type is P4/mmm (123). As for the calculated formation energy: -0.1241 eV per atom.


First-principles (PBE) data for a relaxed structure of Nd6Sn2Pd, as listed in the Alexandria database.

Lattice parameters (Å, degrees): 8.5256 8.5256 4.3269 90.00 90.00 120.00
Atoms (fractional coordinates):
Nd1 0.0000 0.2469 0.0000
Nd2 0.0000 0.5880 0.5000
Nd3 0.2469 0.0000 0.0000
Nd4 0.4120 0.4120 0.5000
Nd5 0.5880 0.0000 0.5000
Nd6 0.7531 0.7531 0.0000
Sn1 0.3333 0.6667 0.0000
Sn2 0.6667 0.3333 0.0000
Pd1 0.0000 0.0000 0.5000

Calculated values
Its space-group type is P-62m (189). As for the calculated formation energy: -0.5517 eV per atom.


First-principles (PBE) data for a relaxed structure of Dy2HoEr3Sb6, as listed in the Alexandria database.

Lattice parameters (Å, degrees): 9.7567 9.7567 8.7279 102.86 102.86 25.84
Atoms (fractional coordinates):
Dy1 0.1666 0.1666 0.3332
Dy2 0.8334 0.8334 0.6668
Ho1 0.5000 0.5000 0.0000
Er1 0.1668 0.1668 0.8334
Er2 0.5000 0.5000 0.5000
Er3 0.8332 0.8332 0.1666
Sb1 0.0006 0.0006 0.7496
Sb2 0.3332 0.3332 0.9182
Sb3 0.3338 0.3338 0.4155
Sb4 0.6662 0.6662 0.5845
Sb5 0.6668 0.6668 0.0818
Sb6 0.9994 0.9994 0.2504

Calculated values
The total energy is -5.46 eV per atom. Its space-group type is C2/m (12).


First-principles (PBE) data for a relaxed structure of MgCdSi2, as listed in the Alexandria database.

Lattice parameters (Å, degrees): 5.1705 5.1705 5.1705 132.32 132.32 69.73
Atoms (fractional coordinates):
Mg1 0.0000 0.0000 0.0000
Cd1 0.5000 0.5000 0.0000
Si1 0.2500 0.7500 0.5000
Si2 0.7500 0.2500 0.5000

Calculated values
For the energy above the most stable polymorph in this dataset, the calculation gives 0.077 eV per atom. Its space-group type is I4/mmm (139).


First-principles (PBE) data for a relaxed structure of AcNd2Ag, as listed in the Alexandria database.

Lattice parameters (Å, degrees): 11.0518 11.0518 11.0518 20.00 20.00 20.00
Atoms (fractional coordinates):
Ac1 0.0000 0.0000 0.0000
Nd1 0.5697 0.5697 0.5697
Nd2 0.7642 0.7642 0.7642
Ag1 0.1669 0.1669 0.1669

Calculated values
For the energy above the most stable polymorph in this dataset, the calculation gives 0.131 eV per atom. Its space-group type is R3m (160). As for the calculated formation energy: 0.0295 eV per atom.


First-principles (PBE) data for a relaxed structure of Cs3Re2PbO8, as listed in the Alexandria database.

Lattice parameters (Å, degrees): 6.4855 6.4855 8.5575 90.00 90.00 120.00
Atoms (fractional coordinates):
Cs1 0.0000 0.0000 0.0000
Cs2 0.3333 0.6667 0.6751
Cs3 0.6667 0.3333 0.3249
Re1 0.3333 0.6667 0.2282
Re2 0.6667 0.3333 0.7718
Pb1 0.0000 0.0000 0.5000
O1 0.1810 0.3620 0.3098
O2 0.1810 0.8190 0.3098
O3 0.3333 0.6667 0.0197
O4 0.3620 0.1810 0.6902
O5 0.6380 0.8190 0.3098
O6 0.6667 0.3333 0.9803
O7 0.8190 0.1810 0.6902
O8 0.8190 0.6380 0.6902

Calculated values
The total energy is -6.59 eV per atom. Its space-group type is P-3m1 (164).


First-principles (PBE) data for a relaxed structure of K2NiAs, as listed in the Alexandria database.

Lattice parameters (Å, degrees): 10.7609 10.7609 10.7609 17.70 17.70 17.70
Atoms (fractional coordinates):
K1 0.2483 0.2483 0.2483
K2 0.7517 0.7517 0.7517
Ni1 0.5000 0.5000 0.5000
As1 0.0000 0.0000 0.0000

Calculated values
Its space-group type is R-3m (166). As for the calculated formation energy: 0.5907 eV per atom.


First-principles (PBE) data for a relaxed structure of Sn4Cl5F2, as listed in the Alexandria database.

Lattice parameters (Å, degrees): 10.3373 10.3373 10.3373 155.88 138.73 48.38
Atoms (fractional coordinates):
Sn1 0.1820 0.1820 0.0000
Sn2 0.2201 0.5000 0.7201
Sn3 0.7799 0.5000 0.2799
Sn4 0.8180 0.8180 0.0000
Cl1 0.0969 0.3456 0.7513
Cl2 0.4058 0.6544 0.7513
Cl3 0.5000 0.0000 0.5000
Cl4 0.5942 0.3456 0.2487
Cl5 0.9031 0.6544 0.2487
F1 0.0699 0.0699 0.0000
F2 0.9301 0.9301 0.0000

Calculated values
The total energy is -3.83 eV per atom. Its space-group type is Immm (71).


First-principles (PBE) data for a relaxed structure of TbPm2Hg8, as listed in the Alexandria database.

Lattice parameters (Å, degrees): 8.4206 8.4206 7.2817 109.11 109.11 34.91
Atoms (fractional coordinates):
Tb1 0.0000 0.0000 0.0000
Pm1 0.2893 0.2893 0.3446
Pm2 0.7107 0.7107 0.6554
Hg1 0.0947 0.0947 0.4497
Hg2 0.1681 0.1681 0.8948
Hg3 0.3487 0.3487 0.8312
Hg4 0.4788 0.4788 0.2710
Hg5 0.5212 0.5212 0.7290
Hg6 0.6513 0.6513 0.1688
Hg7 0.8319 0.8319 0.1052
Hg8 0.9053 0.9053 0.5503

Calculated values
Its space-group type is C2/m (12). As for the calculated formation energy: -0.3439 eV per atom.